Entry 1:
A relaxed TmFeSi2 crystal. Source: the Alexandria database, functional PBE-GGA.

Geometry as CIF:
```
data_TmFeSi2
_space_group_name_H-M_alt 'P n m a'
_space_group_IT_number 62
_space_group_name_Hall '-P 2ac 2n'
_cell_length_a 6.693
_cell_length_b 3.911
_cell_length_c 9.670
_cell_angle_alpha 90.00
_cell_angle_beta 90.00
_cell_angle_gamma 90.00
loop_
_atom_site_label
_atom_site_fract_x
_atom_site_fract_y
_atom_site_fract_z
_atom_site_occupancy
Tm1 0.160 0.250 0.124 1
Fe1 0.015 0.750 0.390 1
Si1 0.151 0.250 0.814 1
Si2 0.187 0.250 0.425 1
```

Properties
The calculation puts the formation energy from raw total energies at -686 meV per atom.

---

Entry 2:
A relaxed CuSi2OsO crystal. Source: the Alexandria database, functional PBE-GGA.

Geometry as CIF:
```
data_CuSi2OsO
_space_group_name_H-M_alt 'P 4/m m m'
_space_group_IT_number 123
_space_group_name_Hall '-P 4 2'
_cell_length_a 4.687
_cell_length_b 4.687
_cell_length_c 3.298
_cell_angle_alpha 90.00
_cell_angle_beta 90.00
_cell_angle_gamma 90.00
loop_
_atom_site_label
_atom_site_fract_x
_atom_site_fract_y
_atom_site_fract_z
_atom_site_occupancy
Cu1 0.000 0.000 0.000 1
Si1 0.000 0.500 0.000 1
Os1 0.500 0.500 0.500 1
O1 0.000 0.000 0.500 1
```

Properties
The calculation puts the formation energy from raw total energies at 807 meV per atom.

---

Entry 3:
A relaxed TaAlCoI2 crystal. Source: the Alexandria database, functional PBE-GGA.

Geometry as CIF:
```
data_TaAlCoI2
_space_group_name_H-M_alt 'P 4/m m m'
_space_group_IT_number 123
_space_group_name_Hall '-P 4 2'
_cell_length_a 5.591
_cell_length_b 5.591
_cell_length_c 4.598
_cell_angle_alpha 90.00
_cell_angle_beta 90.00
_cell_angle_gamma 90.00
loop_
_atom_site_label
_atom_site_fract_x
_atom_site_fract_y
_atom_site_fract_z
_atom_site_occupancy
Ta1 0.000 0.000 0.000 1
Al1 0.500 0.500 0.500 1
Co1 0.000 0.000 0.500 1
I1 0.000 0.500 0.000 1
```

Properties
The calculation puts the formation energy from raw total energies at 924 meV per atom.

---

Entry 4:
A relaxed TaHg crystal. Source: the Alexandria database, functional PBE-GGA.

Geometry as CIF:
```
data_TaHg
_space_group_name_H-M_alt 'P 4/n m m'
_space_group_IT_number 129
_cell_length_a 2.915
_cell_length_b 2.915
_cell_length_c 9.307
_cell_angle_alpha 90.00
_cell_angle_beta 90.00
_cell_angle_gamma 90.00
loop_
_space_group_symop_operation_xyz
'x,y,z'
'-x,-y,-z'
'-y+1/2,x,z'
'y+1/2,-x,-z'
'-x+1/2,-y+1/2,z'
'x+1/2,y+1/2,-z'
'y,-x+1/2,z'
'-y,x+1/2,-z'
'x+1/2,-y,-z'
'-x+1/2,y,z'
'-y,-x,-z'
'y,x,z'
'-x,y+1/2,-z'
'x,-y+1/2,z'
'y+1/2,x+1/2,-z'
'-y+1/2,-x+1/2,z'
loop_
_atom_site_label
_atom_site_fract_x
_atom_site_fract_y
_atom_site_fract_z
_atom_site_occupancy
Ta1 0.250 0.250 0.119 1
Hg1 0.250 0.250 0.635 1
```

Properties
For the formation energy, the calculation gives 0.279 eV/atom.

---

Entry 5:
A relaxed PPb4I5 crystal. Source: the Alexandria database, functional PBE-GGA.

Geometry as CIF:
```
data_PPb4I5
_space_group_name_H-M_alt 'C 1 2/m 1'
_space_group_IT_number 12
_space_group_name_Hall '-C 2y'
_cell_length_a 20.080
_cell_length_b 4.507
_cell_length_c 9.100
_cell_angle_alpha 90.00
_cell_angle_beta 103.39
_cell_angle_gamma 90.00
loop_
_atom_site_label
_atom_site_fract_x
_atom_site_fract_y
_atom_site_fract_z
_atom_site_occupancy
P1 0.000 0.000 0.000 1
Pb1 0.001 0.500 0.222 1
Pb2 0.149 0.000 0.076 1
I1 0.000 0.000 0.500 1
I2 0.166 0.500 0.338 1
I3 0.168 0.500 0.826 1
```

Properties
The calculation puts the formation energy from raw total energies at -467 meV per atom.

---

Entry 6:
A relaxed LaAgMo crystal. Source: the Alexandria database, functional PBE-GGA.

Geometry as CIF:
```
data_LaAgMo
_space_group_name_H-M_alt 'I 4 m m'
_space_group_IT_number 107
_space_group_name_Hall 'I 4 -2'
_cell_length_a 3.520
_cell_length_b 3.520
_cell_length_c 11.196
_cell_angle_alpha 90.00
_cell_angle_beta 90.00
_cell_angle_gamma 90.00
loop_
_atom_site_label
_atom_site_fract_x
_atom_site_fract_y
_atom_site_fract_z
_atom_site_occupancy
La1 0.000 0.000 0.000 1
Ag1 0.000 0.000 0.701 1
Mo1 0.000 0.000 0.320 1
```

Properties
For the energy relative to the lowest polymorph listed for this composition, the calculation gives 74 meV per atom. For the formation energy, the calculation gives 0.568 eV/atom.

---

Size of the total moment, record by record: 0.0 0.0 0.0 0.0 0.0 3.0 μB per cell